Record 1
Below is an optimized crystal structure of RbGaAgAs, with properties calculated at the PBE level.

Values from the calculation:
**M_tot**: 0.000 μB per formula unit
**Calculated total energy**: -12.12 eV per formula unit
**Calculated formation energy**: -60 kJ/mol of formula units

```
RbGaAgAs
1.0
4.3339 0.0000 0.0000
0.0000 4.3339 0.0000
0.0000 0.0000 12.8016
Rb Ga Ag As
2 2 2 2
direct
0.2500 0.2500 0.2308
0.7500 0.7500 0.7692
0.2500 0.7500 0.5000
0.7500 0.2500 0.5000
0.2500 0.7500 0.0000
0.7500 0.2500 0.0000
0.2500 0.2500 0.6123
0.7500 0.7500 0.3877
```

=====

Record 2
Below is an optimized crystal structure of Sc2GaAgAs, with properties calculated at the PBE level.

Values from the calculation:
**M_tot**: 0.000 μB per formula unit
**Calculated total energy**: -23.97 eV per formula unit
**Calculated formation energy**: -75 kJ/mol of formula units

```
Sc2GaAgAs
1.0
5.0398 0.0000 0.0000
0.0000 5.0398 0.0000
0.0000 0.0000 4.8233
Sc Ga Ag As
2 1 1 1
direct
0.0000 0.5000 0.0000
0.5000 0.0000 0.0000
0.0000 0.0000 0.5000
0.5000 0.5000 0.5000
0.5000 0.5000 0.0000
```